Entry 1:
VASP calculation (PBE) on a geometry-optimized Pr2Al4SnPt3 structure.

Unit cell a=4.3504 b=4.3504 c=10.7144 alpha=90.00 beta=90.00 gamma=90.00
Space group P-4m2 (No. 115)
Asymmetric unit:
Pr (0.0000, 0.5000, 0.2410)
Al (0.0000, 0.0000, 0.0000)
Al (0.0000, 0.5000, 0.6497)
Al (0.5000, 0.5000, 0.0000)
Sn (0.0000, 0.0000, 0.5000)
Pt (0.0000, 0.5000, 0.8774)
Pt (0.5000, 0.5000, 0.5000)

Output
As for the crystal system: tetragonal. For the energy of formation from the pure elements, the calculation gives -92.0 kJ per mole of atoms.

---

Entry 2:
VASP calculation (PBE) on a geometry-optimized AcCrSi2 structure.

Unit cell a=3.2576 b=3.2576 c=6.9851 alpha=90.00 beta=90.00 gamma=90.00
Space group P4/mmm (No. 123)
Asymmetric unit:
Ac (0.0000, 0.0000, 0.0000)
Cr (0.0000, 0.0000, 0.5000)
Si (0.5000, 0.5000, 0.3270)

Output
As for the crystal system: tetragonal. The calculation puts the formation energy from raw total energies at -0.02 eV per atom.

---

Entry 3:
VASP calculation (PBE) on a geometry-optimized LiAc2Th structure.

Unit cell a=6.1894 b=6.1894 c=3.8158 alpha=90.00 beta=90.00 gamma=90.00
Space group P4/mmm (No. 123)
Asymmetric unit:
Li (0.0000, 0.0000, 0.0000)
Ac (0.0000, 0.5000, 0.5000)
Th (0.5000, 0.5000, 0.0000)

Output
The value obtained for the distance to the lowest polymorph of the same formula is 104.4 meV per atom. As for the crystal system: tetragonal. For the energy of formation from the pure elements, the calculation gives 18.0 kJ per mole of atoms.

---

Computed values of magnetization (unit: μB per formula unit) for the preceding records, in sequence: 0.00 0.49 0.00.
Computed values of mass density (unit: g/cm3) for the preceding records, in sequence: 8.96 7.51 7.87.
Computed values of total energy (unit: eV/atom) for the preceding records, in sequence: -5.6194 -6.1652 -4.2008.